A.
The following is a DFT calculation (GGA-PBE) of ZrCd3Ru after structural relaxation.

## Properties
Symmetry: Pm-3m (221)

Cell lengths 5.0378, 5.0378, 5.0378 Å; angles 90.00, 90.00, 90.00 degrees
Last column: nearest neighbours and their distance in Å.
Positions (direct):
Zr (0.0000, 0.0000, 0.0000)  12 Cd 3.56
Cd (0.0000, 0.5000, 0.5000)  2 Ru 2.52
Cd (0.5000, 0.0000, 0.5000)  2 Ru 2.52
Cd (0.5000, 0.5000, 0.0000)  2 Ru 2.52
Ru (0.5000, 0.5000, 0.5000)  6 Cd 2.52


B.
The following is a DFT calculation (GGA-PBE) of ZrCd3Ru after structural relaxation.

## Properties
Symmetry: Pm-3m (221)

Cell lengths 5.4742, 5.4742, 5.4742 Å; angles 90.00, 90.00, 90.00 degrees
Last column: nearest neighbours and their distance in Å.
Positions (direct):
Zr (0.0000, 0.0000, 0.0000)  6 Cd 2.74
Cd (0.0000, 0.0000, 0.5000)  2 Zr 2.74
Cd (0.0000, 0.5000, 0.0000)  2 Zr 2.74
Cd (0.5000, 0.0000, 0.0000)  2 Zr 2.74
Ru (0.5000, 0.5000, 0.5000)  12 Cd 3.87


Which structure loses on stability? B does.


A.
The following is a DFT calculation (GGA-PBE) of ZrCd2Ru after structural relaxation.

## Properties
Symmetry: Cmmm (65)

Cell lengths 5.4202, 5.4202, 2.9864 Å; angles 90.00, 90.00, 119.40 degrees
Last column: nearest neighbours and their distance in Å.
Positions (direct):
Zr (0.0000, 0.0000, 0.0000)  2 Ru 2.73, 2 Zr 2.99
Cd (0.0000, 0.5000, 0.5000)  4 Cd 2.73-2.99
Cd (0.5000, 0.0000, 0.5000)  4 Cd 2.73-2.99
Ru (0.5000, 0.5000, 0.0000)  2 Zr 2.73, 2 Ru 2.99


B.
The following is a DFT calculation (GGA-PBE) of ZrCd2Ru after structural relaxation.

## Properties
Symmetry: Pmm2 (25)

Cell lengths 3.2592, 3.2831, 7.5034 Å; angles 90.00, 90.00, 90.00 degrees
Last column: nearest neighbours and their distance in Å.
Positions (direct):
Zr (0.0000, 0.0000, 0.0000)  4 Ru 2.70
Cd (0.0000, 0.0000, 0.5730)  4 Ru 2.93, 8 Cd 3.09-3.28, 1 Zr 3.20
Cd (0.5000, 0.5000, 0.3004)  8 Cd 3.09-3.28, 4 Zr 3.23
Ru (0.5000, 0.5000, 0.8133)  4 Zr 2.70, 4 Cd 2.93


C.
The following is a DFT calculation (GGA-PBE) of ZrCd2Ru after structural relaxation.

## Properties
Symmetry: P4/mmm (123)

Cell lengths 3.9843, 3.9843, 4.7900 Å; angles 90.00, 90.00, 90.00 degrees
Last column: nearest neighbours and their distance in Å.
Positions (direct):
Zr (0.0000, 0.0000, 0.0000)  4 Ru 2.82, 8 Cd 3.12
Cd (0.0000, 0.5000, 0.5000)  4 Cd 2.82, 4 Ru 3.12, 4 Zr 3.12
Cd (0.5000, 0.0000, 0.5000)  4 Cd 2.82, 4 Ru 3.12, 4 Zr 3.12
Ru (0.5000, 0.5000, 0.0000)  4 Zr 2.82, 8 Cd 3.12


Which structure loses on stability? A does.


A.
The following is a DFT calculation (GGA-PBE) of ZrCd2Ru after structural relaxation.

## Properties
Symmetry: P4/mmm (123)

Cell lengths 2.9693, 2.9693, 8.7262 Å; angles 90.00, 90.00, 90.00 degrees
Last column: nearest neighbours and their distance in Å.
Positions (direct):
Zr (0.0000, 0.0000, 0.0000)  4 Zr 2.97, 8 Cd 3.18
Cd (0.5000, 0.5000, 0.2741)  4 Ru 2.88, 4 Cd 2.97, 4 Zr 3.18
Cd (0.5000, 0.5000, 0.7259)  4 Ru 2.88, 4 Cd 2.97, 4 Zr 3.18
Ru (0.0000, 0.0000, 0.5000)  8 Cd 2.88, 4 Ru 2.97


B.
The following is a DFT calculation (GGA-PBE) of ZrCd2Ru after structural relaxation.

## Properties
Symmetry: F-43m (216)

Cell lengths 4.7560, 4.7560, 4.7560 Å; angles 60.00, 60.00, 60.00 degrees
Last column: nearest neighbours and their distance in Å.
Positions (direct):
Zr (0.0000, 0.0000, 0.0000)  4 Cd 2.91, 4 Ru 2.91
Cd (0.2500, 0.2500, 0.2500)  4 Cd 2.91, 4 Zr 2.91
Cd (0.5000, 0.5000, 0.5000)  4 Ru 2.91, 4 Cd 2.91
Ru (0.7500, 0.7500, 0.7500)  4 Cd 2.91, 4 Zr 2.91


Which structure loses on stability? A does.